La2NbTePt: optimized geometry, GGA-PBE.

Its density of states at the Fermi level is 9.63 states/eV/cell. The volume is 171.7 Å³/cell. The space-group type is P4/mmm, No. 123. The value obtained for the formation energy without anion corrections is 0.5815 eV per atom. The calculation puts the total energy at -5.240 eV per atom.

Cell: 5.927 5.927 4.888 Å, 90.00 90.00 90.00°
Sites, in units of the cell vectors:
La 0.000 0.500 0.000
La 0.500 0.000 0.000
Nb 0.000 0.000 0.500
Te 0.500 0.500 0.000
Pt 0.500 0.500 0.500

RbLa3Nb: optimized geometry, GGA-PBE.

Its density of states at the Fermi level is 6.03 states/eV/cell. Its energy of formation from the pure elements is 0.459 eV/atom. For the polymorph energy (0 for the lowest one), the calculation gives 0.000 eV per atom. The volume is 200.1 Å³/cell. The space-group type is Pm-3m, No. 221. The calculation puts the total energy at -4.705 eV per atom.

Cell: 5.849 5.849 5.849 Å, 90.00 90.00 90.00°
Sites, in units of the cell vectors:
Rb 0.000 0.000 0.000
La 0.000 0.500 0.500
La 0.500 0.000 0.500
La 0.500 0.500 0.000
Nb 0.500 0.500 0.500

Rb3LaNb: optimized geometry, GGA-PBE.

Its density of states at the Fermi level is 12.86 states/eV/cell. Its energy of formation from the pure elements is 1.860 eV/atom. The volume is 334.6 Å³/cell. The space-group type is Pm-3m, No. 221. The calculation puts the total energy at -1.720 eV per atom.

Cell: 6.942 6.942 6.942 Å, 90.00 90.00 90.00°
Sites, in units of the cell vectors:
Rb 0.000 0.000 0.500
Rb 0.000 0.500 0.000
Rb 0.500 0.000 0.000
La 0.000 0.000 0.000
Nb 0.500 0.500 0.500

RbLaNb3: optimized geometry, GGA-PBE.

Its density of states at the Fermi level is 8.42 states/eV/cell. Its energy of formation from the pure elements is 2.001 eV/atom. For the polymorph energy (0 for the lowest one), the calculation gives 0.000 eV per atom. The volume is 136.6 Å³/cell. The space-group type is Pm-3m, No. 221. The calculation puts the total energy at -5.220 eV per atom.

Cell: 5.150 5.150 5.150 Å, 90.00 90.00 90.00°
Sites, in units of the cell vectors:
Rb 0.000 0.000 0.000
La 0.500 0.500 0.500
Nb 0.000 0.500 0.500
Nb 0.500 0.000 0.500
Nb 0.500 0.500 0.000

RbLa3Nb: optimized geometry, GGA-PBE.

Its density of states at the Fermi level is 7.77 states/eV/cell. Its energy of formation from the pure elements is 1.668 eV/atom. For the polymorph energy (0 for the lowest one), the calculation gives 1.210 eV per atom. The volume is 173.5 Å³/cell. The space-group type is Pm-3m, No. 221. The calculation puts the total energy at -3.496 eV per atom.

Cell: 5.577 5.577 5.577 Å, 90.00 90.00 90.00°
Sites, in units of the cell vectors:
Rb 0.000 0.000 0.000
La 0.000 0.000 0.500
La 0.000 0.500 0.000
La 0.500 0.000 0.000
Nb 0.500 0.500 0.500

RbLaNbS2: optimized geometry, GGA-PBE.

Its density of states at the Fermi level is 6.72 states/eV/cell. The volume is 184.8 Å³/cell. The space-group type is P4/mmm, No. 123. The value obtained for the formation energy without anion corrections is 0.1563 eV per atom. The calculation puts the total energy at -4.688 eV per atom.

Cell: 5.639 5.639 5.813 Å, 90.00 90.00 90.00°
Sites, in units of the cell vectors:
Rb 0.000 0.000 0.000
La 0.500 0.500 0.500
Nb 0.500 0.500 0.000
S 0.000 0.500 0.500
S 0.500 0.000 0.500

> Number 4 is which compound?

RbLaNb3